(1)
A geometry-optimized Ba2HoCu2Se4 structure. Source: Alexandria via LeMat-Bulk, functional PBE.

E_form (uncorrected) ... -1284 meV/atom
DOS at the Fermi energy ... 4.1 states/eV per cell
Space-group type ... C2/m (12)

```
Ba2HoCu2Se4
1.0
4.144 0.000 0.000
0.000 7.629 0.183
-2.072 -2.850 7.139
Ba Ho Cu Se
2 1 2 4
direct
0.135 0.570 0.271
0.865 0.430 0.729
0.000 0.000 0.000
0.682 0.989 0.364
0.318 0.011 0.636
0.199 0.186 0.398
0.801 0.814 0.602
0.520 0.754 0.040
0.480 0.246 0.960
```


(2)
A geometry-optimized BaHoCu2Te4 structure. Source: Alexandria via LeMat-Bulk, functional PBE.

E_form (uncorrected) ... -706 meV/atom
DOS at the Fermi energy ... 6.1 states/eV per cell
Space-group type ... I222 (23)

```
BaHoCu2Te4
1.0
7.045 0.000 0.000
3.523 6.087 -0.007
3.523 0.492 6.067
Ba Ho Cu Te
1 1 2 4
direct
0.000 0.000 0.000
0.500 0.500 0.500
0.142 0.358 0.358
0.858 0.642 0.642
0.458 0.099 0.508
0.065 0.901 0.492
0.935 0.508 0.099
0.542 0.492 0.901
```


(3)
A geometry-optimized BaHo2CuTe4 structure. Source: Alexandria via LeMat-Bulk, functional PBE.

E_form (uncorrected) ... -1205 meV/atom
DOS at the Fermi energy ... 4.6 states/eV per cell
Space-group type ... Cmcm (63)

```
BaHo2CuTe4
1.0
-4.072 1.444 1.012
-0.129 -7.686 0.718
4.104 1.300 14.661
Ba Ho Cu Te
2 4 2 8
direct
0.121 0.241 0.750
0.879 0.759 0.250
0.372 0.745 0.561
0.628 0.255 0.061
0.628 0.255 0.439
0.372 0.745 0.939
0.847 0.693 0.750
0.153 0.307 0.250
0.267 0.534 0.114
0.733 0.466 0.614
0.733 0.466 0.886
0.267 0.534 0.386
0.000 0.000 0.500
0.000 0.000 0.000
0.441 0.881 0.750
0.559 0.119 0.250
```


(4)
A geometry-optimized BaCuI4 structure. Source: Alexandria via LeMat-Bulk, functional PBE.

E_form (uncorrected) ... -881 meV/atom
DOS at the Fermi energy ... 12.5 states/eV per cell
Space-group type ... P2_1/m (11)

```
BaCuI4
1.0
6.997 -0.697 0.000
-4.331 7.148 0.000
0.000 0.000 11.417
Ba Cu I
2 2 8
direct
0.981 0.630 0.750
0.019 0.370 0.250
0.979 0.111 0.750
0.021 0.889 0.250
0.584 0.764 0.750
0.416 0.236 0.250
0.376 0.163 0.750
0.624 0.837 0.250
0.023 0.709 0.062
0.977 0.291 0.562
0.023 0.709 0.438
0.977 0.291 0.938
```


In order of appearance, electronic total energy = -4.679, -4.113, -4.673, -2.917 eV/atom.